No. 1
# PuInCo2O8, optimized geometry, DFT PBE+U
# **Crystal system**: tetragonal
# **Total energy**: -165.25 eV per cell
# **Total magnetization**: 9.46 μB/cell
# **N(E_F)**: 11.874 states/eV per cell
data_PuInCo2O8
_chemical_formula_sum 'Pu2 In2 Co4 O16'
_symmetry_space_group_name_H-M 'I -4 m 2'
_symmetry_Int_Tables_number 119
_symmetry_space_group_name_Hall 'I -4 -2'
_cell_length_a 6.716
_cell_length_b 6.716
_cell_length_c 6.746
_cell_angle_alpha 90.00
_cell_angle_beta 90.00
_cell_angle_gamma 90.00
loop_
_atom_site_label
_atom_site_type_symbol
_atom_site_fract_x
_atom_site_fract_y
_atom_site_fract_z
Pu1 Pu 0.000 0.000 0.000
In1 In 0.000 0.500 0.250
Co1 Co 0.000 0.000 0.500
Co2 Co 0.000 0.500 0.750
O1 O 0.000 0.183 0.312
O2 O 0.000 0.296 0.953

No. 2
# PuIn2CoO8, optimized geometry, DFT PBE+U
# **Crystal system**: monoclinic
# **Total energy**: -84.07 eV per cell
# **Total magnetization**: 5.00 μB/cell
# **N(E_F)**: 0.200 states/eV per cell
data_PuIn2CoO8
_chemical_formula_sum 'Pu1 In2 Co1 O8'
_symmetry_space_group_name_H-M 'P 1 2/m 1'
_symmetry_Int_Tables_number 10
_cell_length_a 4.890
_cell_length_b 6.491
_cell_length_c 4.900
_cell_angle_alpha 90.00
_cell_angle_beta 92.85
_cell_angle_gamma 90.00
loop_
_symmetry_equiv_pos_as_xyz
'x,y,z'
'-x,-y,-z'
'-x,y,-z'
'x,-y,z'
loop_
_atom_site_label
_atom_site_type_symbol
_atom_site_fract_x
_atom_site_fract_y
_atom_site_fract_z
Pu1 Pu 0.000 0.000 0.000
In1 In 0.500 0.261 0.500
Co1 Co 0.000 0.500 0.000
O1 O 0.185 0.237 0.817
O2 O 0.279 0.500 0.280
O3 O 0.300 0.000 0.302

No. 3
# InCoRuO6, optimized geometry, DFT PBE+U
# **Crystal system**: trigonal
# **Total energy**: -109.06 eV per cell
# **Total magnetization**: 4.63 μB/cell
# **N(E_F)**: 8.206 states/eV per cell
data_InCoRuO6
_chemical_formula_sum 'In2 Co2 Ru2 O12'
_symmetry_space_group_name_H-M 'P -3 1 c'
_symmetry_Int_Tables_number 163
_symmetry_space_group_name_Hall '-P 3 2c'
_cell_length_a 5.2750
_cell_length_b 5.2750
_cell_length_c 8.5823
_cell_angle_alpha 90.00
_cell_angle_beta 90.00
_cell_angle_gamma 120.00
loop_
_atom_site_label
_atom_site_type_symbol
_atom_site_fract_x
_atom_site_fract_y
_atom_site_fract_z
In1 In 0.3333 0.6667 0.2500
Co1 Co 0.0000 0.0000 0.0000
Ru1 Ru 0.3333 0.6667 0.7500
O1 O 0.0357 0.3604 0.6234

No. 4
# InCoSeO5, optimized geometry, DFT PBE+U
# **Crystal system**: monoclinic
# **Total energy**: -172.81 eV per cell
# **Total magnetization**: 16.07 μB/cell
data_InCoSeO5
_chemical_formula_sum 'In4 Co4 Se4 O20'
_symmetry_space_group_name_H-M 'C 1 2/c 1'
_symmetry_Int_Tables_number 15
_cell_length_a 6.878
_cell_length_b 10.363
_cell_length_c 6.764
_cell_angle_alpha 90.00
_cell_angle_beta 108.05
_cell_angle_gamma 90.00
loop_
_symmetry_equiv_pos_as_xyz
'x,y,z'
'-x,-y,-z'
'-x,y,-z+1/2'
'x,-y,z+1/2'
'x+1/2,y+1/2,z'
'-x+1/2,-y+1/2,-z'
'-x+1/2,y+1/2,-z+1/2'
'x+1/2,-y+1/2,z+1/2'
loop_
_atom_site_label
_atom_site_type_symbol
_atom_site_fract_x
_atom_site_fract_y
_atom_site_fract_z
In1 In 0.250 0.250 0.000
Co1 Co 0.000 0.005 0.750
Se1 Se 0.000 0.476 0.250
O1 O 0.000 0.186 0.750
O2 O 0.009 0.367 0.064
O3 O 0.184 0.050 0.119

No. 5
# In2CoSiO6, optimized geometry, DFT PBE+U
# **Crystal system**: trigonal
# **Total energy**: -188.81 eV per cell
# **Total magnetization**: 9.10 μB/cell
data_In2CoSiO6
_chemical_formula_sum 'In6 Co3 Si3 O18'
_symmetry_space_group_name_H-M 'R 3'
_symmetry_Int_Tables_number 146
_symmetry_space_group_name_Hall 'R 3'
_cell_length_a 5.2450
_cell_length_b 5.2450
_cell_length_c 13.7629
_cell_angle_alpha 90.00
_cell_angle_beta 90.00
_cell_angle_gamma 120.00
loop_
_atom_site_label
_atom_site_type_symbol
_atom_site_fract_x
_atom_site_fract_y
_atom_site_fract_z
In1 In 0.0000 0.0000 0.0000
In2 In 0.0000 0.0000 0.4932
Co1 Co 0.0000 0.0000 0.2729
Si1 Si 0.0000 0.0000 0.7854
O1 O 0.0294 0.7396 0.8714
O2 O 0.0645 0.3542 0.3835

No. 6
# Sm2InCoO6, optimized geometry, DFT PBE+U
# **Crystal system**: monoclinic
# **Total energy**: -140.34 eV per cell
# **Total magnetization**: 0.00 μB/cell
# **N(E_F)**: 0.000 states/eV per cell
data_Sm2InCoO6
_chemical_formula_sum 'Sm4 In2 Co2 O12'
_symmetry_space_group_name_H-M 'P 1 21/c 1'
_symmetry_Int_Tables_number 14
_cell_length_a 5.456
_cell_length_b 5.743
_cell_length_c 9.508
_cell_angle_alpha 90.00
_cell_angle_beta 124.30
_cell_angle_gamma 90.00
loop_
_symmetry_equiv_pos_as_xyz
'x,y,z'
'-x,-y,-z'
'-x,y+1/2,-z+1/2'
'x,-y+1/2,z+1/2'
loop_
_atom_site_label
_atom_site_type_symbol
_atom_site_fract_x
_atom_site_fract_y
_atom_site_fract_z
Sm1 Sm 0.230 0.065 0.250
In1 In 0.500 0.000 0.000
Co1 Co 0.000 0.000 0.500
O1 O 0.121 0.212 0.940
O2 O 0.237 0.687 0.946
O3 O 0.346 0.039 0.735

Q: total magnetization of number 2 (PuIn2CoO8)?
A: 5.00 μB/cell

Q: What is the formula in the first record?
A: PuInCo2O8